## YHI3 (GGA-PBE)

Data for a relaxed structure of YHI3.

Its spin magnetization is 0.2003 μB/atom. The energy above the most stable polymorph in this dataset is 0.153 eV per atom. For the total energy, the calculation gives -3.533 eV per atom. The value obtained for the density of states at the Fermi level is 0.00 states/eV/cell.

Lattice parameters (Å, degrees): 8.1482 8.1482 23.7665 90.00 90.00 120.00
Space group R-3m (No. 166, hexagonal axes)
Asymmetric unit:
1 Y 0.0000 0.0000 0.1665
2 H 0.0000 0.0000 0.4106
3 I 0.0003 0.5001 0.4176